# KCaTa2

A crystal of KCaTa2 relaxed with PBEsol (meta-GGA SCAN, Alexandria via LeMat-Bulk).

a b c (Å): 4.8594 4.8594 8.5438
angles (deg): 91.89 91.89 35.67
Closest atoms and distances in Å follow each position.
Sites, in units of the cell vectors:
1 K 0.0000 0.0000 0.0000  2 K 2.98
2 Ca 0.7662 0.7662 0.3756  2 Ca 2.98, 5 Ta 3.15-3.29
3 Ta 0.2424 0.2424 0.6995  3 Ta 2.61-2.72
4 Ta 0.5086 0.5086 0.6066  3 Ta 2.61-2.72

Crystal system   monoclinic
SG   Cm (8)
Energy   -36.88 eV per atom